# HoCoAsO, optimized geometry, DFT PBE with a Hubbard U
data_HoCoAsO
_chemical_formula_sum 'Ho2 Co2 As2 O2'
_cell_length_a 3.8004
_cell_length_b 5.8660
_cell_length_c 6.6308
_cell_angle_alpha 90.00
_cell_angle_beta 90.00
_cell_angle_gamma 90.00
_space_group_name_H-M_alt 'P 1'
_space_group_IT_number 1
loop_
_space_group_symop_operation_xyz
'x,y,z'
loop_
_atom_site_label
_atom_site_fract_x
_atom_site_fract_y
_atom_site_fract_z
Ho1 0.0000 0.0470 0.0000
Ho2 0.0000 0.9530 0.5000
Co1 0.5000 0.3639 0.3457
Co2 0.5000 0.6361 0.8457
As1 0.5000 0.2402 0.7207
As2 0.5000 0.7598 0.2207
O1 0.0000 0.2492 0.2789
O2 0.0000 0.7508 0.7789
# - Electronic total energy: -24.245 eV/f.u.
# - Symmetry: Pmc2_1, No. 26